DFT (GGA+U) results for an optimized crystal structure of Li3Cr2P3O12.

- Total magnetization: 6.0 μB per formula unit
- ΔE to the lowest computed polymorph: 0.0308 eV/atom

a b c (Å): 4.8650 4.8650 18.8275
angles (deg): 89.68 89.68 66.48
Last column: nearest neighbours and their distance in Å.
Fractional positions:
O  0.7515  0.7515  0.6870  1 P 1.51
O  0.7482  0.7482  0.1527  1 P 1.54
O  0.7034  0.2353  0.5768  1 P 1.58
O  0.7611  0.7611  0.0178  1 P 1.52
O  0.2485  0.2485  0.3130  1 P 1.51
O  0.2430  0.2430  0.5114  1 P 1.55
P  0.6561  0.6561  0.7562  4 O 1.51-1.59
O  0.2966  0.7647  0.4232  1 P 1.58
P  0.6492  0.6492  0.4210  4 O 1.51-1.58
Cr  0.9963  0.9963  0.1650  6 O 1.94-2.11
P  0.3439  0.3439  0.2438  4 O 1.51-1.59
O  0.2389  0.2389  0.9822  1 P 1.52
O  0.7701  0.3019  0.7595  1 P 1.59
O  0.2299  0.6981  0.2405  1 P 1.59
O  0.7760  0.2937  0.0816  1 P 1.60
O  0.2328  0.2328  0.1786  1 P 1.53
Cr  0.0037  0.0037  0.8350  6 O 1.94-2.11
Li  0.3285  0.3285  0.7439  4 O 1.95-2.12
O  0.2240  0.7063  0.9184  1 P 1.60
O  0.7063  0.2240  0.9184  1 P 1.60
Cr  0.0000  0.0000  0.0000  6 O 1.97-2.09
Li  0.0010  0.0010  0.6670  6 O 2.05-2.27
O  0.7511  0.7511  0.3537  1 P 1.51
O  0.7570  0.7570  0.4886  1 P 1.55
Li  0.3247  0.3247  0.4094  4 O 1.92-2.11
P  0.3508  0.3508  0.5790  4 O 1.51-1.58
O  0.2489  0.2489  0.6463  1 P 1.51
O  0.7672  0.7672  0.8214  1 P 1.53
Cr  0.0000  0.0000  0.5000  6 O 1.99-2.04
O  0.3019  0.7701  0.7595  1 P 1.59
Li  0.6753  0.6753  0.5906  4 O 1.92-2.11
Li  0.6715  0.6715  0.2561  4 O 1.95-2.12
O  0.2937  0.7760  0.0816  1 P 1.60
P  0.6508  0.6508  0.0831  4 O 1.52-1.60
P  0.3492  0.3492  0.9169  4 O 1.52-1.60
O  0.2518  0.2518  0.8473  1 P 1.54
O  0.7647  0.2966  0.4232  1 P 1.58
O  0.2353  0.7034  0.5768  1 P 1.58
Li  0.9990  0.9990  0.3330  6 O 2.05-2.27
O  0.6981  0.2299  0.2405  1 P 1.59